No. 1
LiPrIr: relaxed, PBE.

Values from the calculation:
V: 120.8 Å³/cell
total moment: 0.00 μB/cell
E: -5.495 eV/atom
energy relative to the elements: -89.7 kJ/mol of formula units
distance to the lowest polymorph of the same formula: 84.9 meV per atom

Cell lengths 5.767, 5.767, 4.643 Å; angles 113.64, 113.64, 98.24 degrees
Atoms (fractional coordinates):
Ir 0.000 0.000 0.000
Pr 0.635 0.865 0.250
Li 0.005 0.495 0.250
Ir 0.500 0.500 0.500
Li 0.995 0.505 0.750
Pr 0.365 0.135 0.750

=====

No. 2
LiPrIr4: relaxed, PBE.

Values from the calculation:
V: 107.2 Å³/cell
total moment: 0.00 μB/cell
E: -7.392 eV/atom
energy relative to the elements: -213.8 kJ/mol of formula units

Cell lengths 5.332, 5.332, 5.332 Å; angles 60.00, 60.00, 60.00 degrees
Atoms (fractional coordinates):
Ir 0.626 0.626 0.123
Pr 0.250 0.250 0.250
Ir 0.626 0.626 0.626
Li 0.000 0.000 0.000
Ir 0.123 0.626 0.626
Ir 0.626 0.123 0.626